# 1
This record from Alexandria describes a relaxed LaSm6In crystal. The functional is PBE-GGA. Values from VASP.

Quantum ESPRESSO input file:
```
&SYSTEM
  ibrav = 0, nat = 8, ntyp = 3
/
ATOMIC_SPECIES
La 138.91 La.upf
Sm 150.36 Sm.upf
In 114.82 In.upf
CELL_PARAMETERS angstrom
3.5110 -6.2936 0.0000
3.5110 6.2936 0.0000
-3.2759 0.0000 6.0734
ATOMIC_POSITIONS crystal
La 0.0000 0.0000 0.0000
Sm 0.2083 0.7599 0.2543
Sm 0.2401 0.7917 0.7457
Sm 0.4880 0.4880 0.7436
Sm 0.5120 0.5120 0.2564
Sm 0.7599 0.2083 0.2543
Sm 0.7917 0.2401 0.7457
In 0.0000 0.0000 0.5000
```

Formation energy, eV per formula unit: 1.4
Energy above the most stable polymorph in this dataset, meV/atom: 284

---

# 2
This record from Alexandria describes a relaxed HfTcSb2I crystal. The functional is PBE-GGA. Values from VASP.

Quantum ESPRESSO input file:
```
&SYSTEM
  ibrav = 0, nat = 5, ntyp = 4
/
ATOMIC_SPECIES
Hf 178.49 Hf.upf
Tc 98.00 Tc.upf
Sb 121.76 Sb.upf
I 126.90 I.upf
CELL_PARAMETERS angstrom
5.0820 0.0000 0.0000
0.0000 5.0820 0.0000
0.0000 0.0000 5.5065
ATOMIC_POSITIONS crystal
Hf 0.0000 0.0000 0.0000
Tc 0.5000 0.5000 0.5000
Sb 0.0000 0.5000 0.5000
Sb 0.5000 0.0000 0.5000
I 0.5000 0.5000 0.0000
```

Energy above the most stable polymorph in this dataset, meV/atom: 0

---

# 3
This record from Alexandria describes a relaxed Sr2HfAsPd crystal. The functional is PBE-GGA. Values from VASP.

Quantum ESPRESSO input file:
```
&SYSTEM
  ibrav = 0, nat = 5, ntyp = 4
/
ATOMIC_SPECIES
Sr 87.62 Sr.upf
Hf 178.49 Hf.upf
As 74.92 As.upf
Pd 106.42 Pd.upf
CELL_PARAMETERS angstrom
5.8519 0.0000 0.0000
0.0000 5.8519 0.0000
0.0000 0.0000 4.6991
ATOMIC_POSITIONS crystal
Sr 0.0000 0.5000 0.0000
Sr 0.5000 0.0000 0.0000
Hf 0.0000 0.0000 0.5000
As 0.5000 0.5000 0.5000
Pd 0.5000 0.5000 0.0000
```

Formation energy, eV per formula unit: 1.3

---

# 4
This record from Alexandria describes a relaxed Ir4Se crystal. The functional is PBE-GGA. Values from VASP.

Quantum ESPRESSO input file:
```
&SYSTEM
  ibrav = 0, nat = 5, ntyp = 2
/
ATOMIC_SPECIES
Ir 192.22 Ir.upf
Se 78.96 Se.upf
CELL_PARAMETERS angstrom
-3.0737 3.0737 2.0178
3.0737 -3.0737 2.0178
3.0737 3.0737 -2.0178
ATOMIC_POSITIONS crystal
Ir 0.1075 0.6865 0.7940
Ir 0.3135 0.1075 0.4210
Ir 0.6865 0.8925 0.5790
Ir 0.8925 0.3135 0.2060
Se 0.5000 0.5000 0.0000
```

---

no.,volume (Å³/cell),total energy (Ry per atom),size of the total moment (μB per cell)
1,268,-0.317,0.88
2,142,-0.378,1.05
3,161,-0.321,2.83
4,76,-0.540,0.00